PmSm5Tl3 | GGA-PBE | relaxed

abc: 9.542 9.542 6.852
angles: 90.00 90.00 60.03
Last column: magnetic moment on the atom in μB.
Element x y z (fractional)
Tl: 0.000 0.666 0.250  0.00
Sm: 0.000 0.667 0.750  0.16
Tl: 0.334 0.000 0.250  0.00
Sm: 0.333 0.000 0.750  0.16
Sm: 0.667 0.667 0.000  0.28
Pm: 0.000 0.000 0.500  0.30
Tl: 0.666 0.000 0.750  0.00
Sm: 0.333 0.667 0.250  0.16
Sm: 0.333 0.333 0.000  0.28
Sm: 0.000 0.333 0.250  0.16
Sm: 0.333 0.333 0.500  0.26
Sm: 0.667 0.333 0.750  0.16
Tl: 0.665 0.335 0.250  0.00
Pm: 0.000 0.000 0.000  0.32
Sm: 0.667 0.667 0.500  0.26
Tl: 0.335 0.665 0.750  0.00
Tl: 0.000 0.334 0.750  0.00
Sm: 0.667 0.000 0.250  0.16

Computed properties:
energy	-75.67	eV/cell
space-group type	No. 193